Model P:
DFT (PBE-GGA) results for crystalline YTi2Au at its relaxed geometry.

N(E_F), states/eV/atom: 1.417
Theoretical density, g/cm3: 7.17

Unit cell a=6.2402 b=6.2402 c=6.2402 alpha=102.37 beta=102.37 gamma=124.86
With the nearest neighbours (Å) after each atom.
Element x y z (fractional)
Y1 0.0000 0.0000 0.0000  2 Au 2.89, 4 Ti 3.12
Y2 0.7500 0.2500 0.5000  2 Au 2.89, 4 Ti 3.12
Ti1 0.1716 0.6250 0.0466  2 Au 2.62
Ti2 0.3750 0.4216 0.5466  2 Au 2.62
Ti3 0.5784 0.1250 0.9534  2 Au 2.62
Ti4 0.8750 0.8284 0.4534  2 Au 2.62
Au1 0.2500 0.7500 0.5000  4 Ti 2.62, 2 Y 2.89
Au2 0.5000 0.5000 0.0000  4 Ti 2.62, 2 Y 2.89

***

Model Q:
DFT (PBE-GGA) results for crystalline YTi2Au at its relaxed geometry.

N(E_F), states/eV/atom: 1.457
Theoretical density, g/cm3: 8.31

Unit cell a=4.7594 b=4.7594 c=4.7594 alpha=60.00 beta=60.00 gamma=60.00
With the nearest neighbours (Å) after each atom.
Element x y z (fractional)
Y1 0.0000 0.0000 0.0000  8 Ti 2.91
Ti1 0.2500 0.2500 0.2500  4 Au 2.91, 4 Y 2.91
Ti2 0.7500 0.7500 0.7500  4 Au 2.91, 4 Y 2.91
Au1 0.5000 0.5000 0.5000  8 Ti 2.91

***

Top of the stability list: model Q, leading by 67 meV per atom.